No. 1
A relaxed BiMo2Se crystal, computed with PBE.

Values from the calculation:
Final energy   -6.692 eV/atom
Mass density   10.99 g/cm³
Distance to the lowest polymorph of the same formula   0 meV per atom
V   72.5 Å³/cell
N(E_F)   6.48 states/eV/cell

abc: 4.6810 4.6810 4.6810
angles: 60.00 60.00 60.00
Element x y z (fractional)
Mo1 0.7500 0.7500 0.7500
Bi1 0.5000 0.5000 0.5000
Se1 0.0000 0.0000 0.0000
Mo2 0.2500 0.2500 0.2500

***

No. 2
A relaxed Bi2TeMoSe crystal, computed with PBE.

Values from the calculation:
Final energy   -3.895 eV/atom
Mass density   7.27 g/cm³
V   164.6 Å³/cell
N(E_F)   3.71 states/eV/cell

abc: 5.5311 5.3811 5.5311
angles: 90.00 90.00 90.00
Each line ends with the local moment (μB).
Element x y z (fractional)
Mo1 0.5000 0.5000 0.5000  3.48
Bi1 0.5000 0.0000 0.0000  -0.32
Bi2 0.0000 0.0000 0.5000  -0.33
Se1 0.0000 0.0000 0.0000  -0.01
Te1 0.0000 0.5000 0.0000  -0.09

***

No. 3
A relaxed SiBi3Mo crystal, computed with PBE.

Values from the calculation:
Final energy   -4.634 eV/atom
Mass density   8.05 g/cm³
Distance to the lowest polymorph of the same formula   0 meV per atom
V   154.8 Å³/cell
N(E_F)   3.79 states/eV/cell

abc: 5.3697 5.3697 5.3697
angles: 90.00 90.00 90.00
Each line ends with the local moment (μB).
Element x y z (fractional)
Si1 0.5000 0.5000 0.5000  0.23
Bi1 0.0000 0.0000 0.5000  -0.11
Mo1 0.0000 0.0000 0.0000  0.44
Bi2 0.5000 0.0000 0.0000  -0.06
Bi3 0.0000 0.5000 0.0000  -0.05

***

No. 4
A relaxed Si2BiMo crystal, computed with PBE.

Values from the calculation:
Final energy   -5.827 eV/atom
Mass density   6.76 g/cm³
V   177.4 Å³/cell
N(E_F)   7.15 states/eV/cell

abc: 4.5875 4.5875 9.0308
angles: 75.29 75.29 90.00
Each line ends with the local moment (μB).
Element x y z (fractional)
Si1 0.8750 0.7345 0.7500  -0.01
Mo1 0.2500 0.7500 0.5000  0.66
Si2 0.3750 0.5155 0.7500  -0.01
Mo2 0.5000 0.5000 0.0000  0.67
Si3 0.2655 0.6250 0.2500  -0.01
Bi1 0.0000 0.0000 0.0000  0.00
Bi2 0.7500 0.2500 0.5000  0.00
Si4 0.4845 0.1250 0.2500  -0.01

***

No. 5
A relaxed SiBi2Mo crystal, computed with PBE.

Values from the calculation:
Final energy   -5.019 eV/atom
Mass density   6.82 g/cm³
V   263.8 Å³/cell
N(E_F)   5.24 states/eV/cell

abc: 6.4608 6.4608 7.7975
angles: 65.53 65.53 90.00
Each line ends with the local moment (μB).
Element x y z (fractional)
Si1 0.5000 0.5000 0.0000  0.04
Bi1 0.6259 0.1250 0.2500  -0.08
Mo1 0.7500 0.2500 0.5000  2.06
Bi2 0.1241 0.6250 0.2500  -0.08
Mo2 0.0000 0.0000 0.0000  2.05
Bi3 0.3750 0.3741 0.7500  -0.09
Si2 0.2500 0.7500 0.5000  0.04
Bi4 0.8750 0.8759 0.7500  -0.09

***

No. 6
A relaxed SiBi3Mo crystal, computed with PBE.

Values from the calculation:
Final energy   -4.315 eV/atom
Mass density   8.13 g/cm³
Distance to the lowest polymorph of the same formula   319 meV per atom
V   153.3 Å³/cell
N(E_F)   4.14 states/eV/cell

abc: 5.3525 5.3525 5.3525
angles: 90.00 90.00 90.00
Each line ends with the local moment (μB).
Element x y z (fractional)
Bi1 0.0000 0.0000 0.5000  -0.14
Bi2 0.5000 0.0000 0.0000  -0.06
Si1 0.0000 0.0000 0.0000  0.01
Bi3 0.0000 0.5000 0.0000  -0.15
Mo1 0.5000 0.5000 0.5000  3.40

***

No. 7
A relaxed TaSiBiMo2 crystal, computed with PBE.

Values from the calculation:
Final energy   -7.668 eV/atom
Mass density   10.16 g/cm³
V   99.7 Å³/cell
N(E_F)   5.24 states/eV/cell

abc: 4.5933 4.7246 4.5933
angles: 90.00 90.00 90.00
Element x y z (fractional)
Ta1 0.0000 0.5000 0.0000
Mo1 0.0000 0.0000 0.5000
Bi1 0.5000 0.5000 0.5000
Mo2 0.5000 0.0000 0.0000
Si1 0.0000 0.0000 0.0000

***

No. 8
A relaxed SnBiMo2 crystal, computed with PBE.

Values from the calculation:
ΔE_f   1.11 eV per atom
Final energy   -6.279 eV/atom
Mass density   9.68 g/cm³
Distance to the lowest polymorph of the same formula   527 meV per atom
V   178.2 Å³/cell
N(E_F)   9.08 states/eV/cell

abc: 7.7344 7.7344 6.2279
angles: 51.62 51.62 90.00
Each line ends with the local moment (μB).
Element x y z (fractional)
Mo1 0.6137 0.1250 0.2500  1.29
Sn1 0.5000 0.5000 0.0000  -0.03
Mo2 0.8750 0.8637 0.7500  1.29
Bi1 0.0000 0.0000 0.0000  -0.01
Mo3 0.3750 0.3863 0.7500  1.29
Bi2 0.7500 0.2500 0.5000  -0.01
Sn2 0.2500 0.7500 0.5000  -0.03
Mo4 0.1363 0.6250 0.2500  1.29